This record from the Alexandria database describes crystalline BeAs2Br at its relaxed geometry. The functional is PBE.

The structure in POSCAR format:
```
BeAs2Br
1.0
5.9348 -0.0090 0.0053
3.3060 4.9287 -0.0053
-4.1111 -3.4165 2.5784
Br As Be
1 2 1
Cartesian
1.9077 1.9860 1.2866 Br
8.6791 4.6207 0.0000 As
5.1821 2.7589 0.0000 As
3.2221 -0.4828 1.2919 Be
```

Properties
- Crystal system: orthorhombic
- SG: Immm, No. 71
- E: -3.288 eV/atom
- Mass density: 5.256 g/cm³
- Fermi-level density of states: 1.15 states/eV per cell


This record from the Alexandria database describes crystalline Be2AsBr at its relaxed geometry. The functional is PBE.

The structure in POSCAR format:
```
Be2AsBr
1.0
6.5586 -0.1912 0.1943
0.2928 6.5548 -0.1943
-1.0145 -5.7777 2.9458
Be Br As
2 1 1
Cartesian
4.6132 -1.2744 1.5700 Be
6.6576 6.1837 0.0000 Be
4.1555 3.8597 0.0000 Br
0.6876 1.3624 1.3758 As
```

Properties
- Crystal system: orthorhombic
- SG: Imm2, No. 44
- E: -2.974 eV/atom
- Mass density: 2.385 g/cm³
- Fermi-level density of states: 1.37 states/eV per cell


This record from the Alexandria database describes crystalline Be2AsBr at its relaxed geometry. The functional is PBE.

The structure in POSCAR format:
```
Be2AsBr
1.0
-2.1369 3.7188 -1.5897
-4.0073 1.2787 1.7971
-0.2516 3.7704 2.5775
Br Be As
1 2 1
Cartesian
-1.5989 2.1920 0.6962 Br
0.0000 0.0000 0.0000 Be
-4.7968 6.5759 2.0886 Be
-3.1979 4.3840 1.3924 As
```

Properties
- Crystal system: cubic
- SG: F-43m, No. 216
- E: -2.336 eV/atom
- Mass density: 4.241 g/cm³
- Fermi-level density of states: 2.58 states/eV per cell


Here are the calculated formation energy from raw total energies numbers, same order: 386.8 470.0 1107.9 (meV per atom).